Record 1
# NaLiPa2O6 (PBE-GGA, optimized geometry)
data_NaLiPa2O6
_chemical_formula_sum 'Na1 Li1 Pa2 O6'
_space_group_name_H-M_alt 'P 4 m m'
_space_group_IT_number 99
_cell_length_a 5.0768
_cell_length_b 5.0768
_cell_length_c 5.5348
_cell_angle_alpha 90.00
_cell_angle_beta 90.00
_cell_angle_gamma 90.00
loop_
_space_group_symop_operation_xyz
'x,y,z'
'-y,x,z'
'-x,-y,z'
'y,-x,z'
'-x,y,z'
'y,x,z'
'x,-y,z'
'-y,-x,z'
loop_
_atom_site_label
_atom_site_fract_x
_atom_site_fract_y
_atom_site_fract_z
_atom_site_occupancy
Na1 0.0000 0.0000 0.0000 1
Li1 0.5000 0.5000 0.0399 1
Pa1 0.0000 0.5000 0.4402 1
O1 0.0000 0.0000 0.6078 1
O2 0.2548 0.2548 0.2328 1
O3 0.5000 0.5000 0.6457 1
# Uncorrected energy, eV per atom: -7.89
# Formation energy (no corrections), eV/atom: -2.6919
# V, Å³/cell: 143

=====

Record 2
# NaLi2PaO5 (PBE-GGA, optimized geometry)
data_NaLi2PaO5
_chemical_formula_sum 'Na1 Li2 Pa1 O5'
_space_group_name_H-M_alt 'P 4/m m m'
_space_group_IT_number 123
_space_group_name_Hall '-P 4 2'
_cell_length_a 3.7798
_cell_length_b 3.7798
_cell_length_c 6.6232
_cell_angle_alpha 90.00
_cell_angle_beta 90.00
_cell_angle_gamma 90.00
loop_
_atom_site_label
_atom_site_fract_x
_atom_site_fract_y
_atom_site_fract_z
_atom_site_occupancy
Na1 0.0000 0.0000 0.0000 1
Li1 0.5000 0.5000 0.2194 1
Pa1 0.0000 0.0000 0.5000 1
O1 0.0000 0.5000 0.2696 1
O2 0.5000 0.5000 0.5000 1
# Uncorrected energy, eV per atom: -6.31
# Formation energy (no corrections), eV/atom: -1.9252
# V, Å³/cell: 95
# Fermi-level density of states, states/eV per cell: 1.90

=====

Record 3
# NaLi2PaO4 (PBE-GGA, optimized geometry)
data_NaLi2PaO4
_chemical_formula_sum 'Na2 Li4 Pa2 O8'
_space_group_name_H-M_alt 'I -4 2 m'
_space_group_IT_number 121
_space_group_name_Hall 'I -4 2'
_cell_length_a 5.4582
_cell_length_b 5.4582
_cell_length_c 6.5559
_cell_angle_alpha 90.00
_cell_angle_beta 90.00
_cell_angle_gamma 90.00
loop_
_atom_site_label
_atom_site_fract_x
_atom_site_fract_y
_atom_site_fract_z
_atom_site_occupancy
Na1 0.0000 0.0000 0.0000 1
Li1 0.0000 0.5000 0.2500 1
Pa1 0.0000 0.0000 0.5000 1
O1 0.2320 0.2320 0.6673 1
# Uncorrected energy, eV per atom: -6.81
# Formation energy (no corrections), eV/atom: -2.4990
# V, Å³/cell: 195
# Fermi-level density of states, states/eV per cell: 0.00

=====

Which value of uncorrected energy does entry 2 give? -6.31 eV per atom